A geometry-optimized Zr2ScAs structure. Source: Alexandria via LeMat-Bulk, functional PBE-GGA.

Unit cell a=8.0802 b=8.0802 c=5.5591 alpha=90.00 beta=90.00 gamma=90.00
With the nearest neighbours (Å) after each atom.
Space group I-42d (No. 122)
Asymmetric unit:
Zr: 0.1999 0.2500 0.1250  2 As 2.68, 2 Zr 2.90
Sc: 0.0000 0.0000 0.5000  2 As 2.78
As: 0.0000 0.0000 0.0000  4 Zr 2.68, 2 Sc 2.78

Output
The calculation puts the formation energy at -0.254 eV per atom. Its magnetic moment is 0.00 Bohr magnetons per cell. The value obtained for the density of states at the Fermi level is 7.37 states/eV per cell.

---

A geometry-optimized ZrScAs2 structure. Source: Alexandria via LeMat-Bulk, functional PBE-GGA.

Unit cell a=3.8692 b=3.8692 c=5.4836 alpha=90.00 beta=90.00 gamma=90.00
With the nearest neighbours (Å) after each atom.
Space group P4/mmm (No. 123)
Asymmetric unit:
Zr: 0.0000 0.0000 0.0000  6 As 2.74
Sc: 0.5000 0.5000 0.5000  6 As 2.74
As: 0.0000 0.0000 0.5000  4 Sc 2.74, 2 Zr 2.74
As: 0.5000 0.5000 0.0000  4 Zr 2.74, 2 Sc 2.74

Output
The calculation puts the formation energy at -1.248 eV per atom. Its magnetic moment is 0.00 Bohr magnetons per cell. The value obtained for the density of states at the Fermi level is 1.55 states/eV per cell.

---

A geometry-optimized ZrScAs2 structure. Source: Alexandria via LeMat-Bulk, functional PBE-GGA.

Unit cell a=4.0571 b=5.2999 c=7.2905 alpha=90.00 beta=90.00 gamma=90.00
With the nearest neighbours (Å) after each atom.
Space group Immm (No. 71)
Asymmetric unit:
Zr: 0.0000 0.0000 0.0000  4 As 2.76
Sc: 0.0000 0.0000 0.5000  4 As 2.70
As: 0.0000 0.5000 0.2441  2 Sc 2.70, 2 Zr 2.76

Output
The calculation puts the formation energy at -0.900 eV per atom. Its magnetic moment is 0.00 Bohr magnetons per cell. The value obtained for the density of states at the Fermi level is 5.07 states/eV per cell.

---

Quick rundown of V, same order as above: 362.9; 82.1; 156.8 Å³ per cell
Quick rundown of ρ, same order as above: 5.53; 5.79; 6.06 g cm⁻³